1.
The following is a DFT calculation (PBE) of a geometry-optimized RbNi2Ge2 structure.

Cell: 7.024 7.024 7.024 Å, 144.78 144.78 50.66°
Positions (direct):
Rb1 0.000 0.000 0.000
Ni1 0.332 0.332 0.000
Ni2 0.668 0.668 0.000
Ge1 0.250 0.750 0.500
Ge2 0.750 0.250 0.500

Summary:
The formation energy is 0.048 eV/atom. The total magnetization is 0.00 μB/f.u.


2.
The following is a DFT calculation (PBE) of a geometry-optimized Rb2NiGe structure.

Cell: 9.367 9.367 9.367 Å, 93.29 93.29 152.27°
Positions (direct):
Rb1 0.375 0.167 0.292
Rb2 0.833 0.125 0.208
Rb3 0.875 0.083 0.708
Rb4 0.917 0.625 0.792
Ni1 0.000 0.000 0.000
Ni2 0.750 0.250 0.500
Ge1 0.250 0.750 0.500
Ge2 0.500 0.500 0.000

Summary:
The formation energy is 0.120 eV/atom. The total magnetization is 0.00 μB/f.u.


3.
The following is a DFT calculation (PBE) of a geometry-optimized RbNi2Ge2 structure.

Cell: 8.083 8.083 2.915 Å, 90.00 90.00 90.00°
Positions (direct):
Rb1 0.000 0.000 0.000
Rb2 0.500 0.500 0.000
Ni1 0.117 0.383 0.000
Ni2 0.383 0.883 0.000
Ni3 0.617 0.117 0.000
Ni4 0.883 0.617 0.000
Ge1 0.131 0.631 0.500
Ge2 0.369 0.131 0.500
Ge3 0.631 0.869 0.500
Ge4 0.869 0.369 0.500

Summary:
The formation energy is 0.150 eV/atom. The total magnetization is 0.00 μB/f.u.


4.
The following is a DFT calculation (PBE) of a geometry-optimized RbRe2NiGe structure.

Cell: 4.743 4.743 5.081 Å, 90.00 90.00 90.00°
Positions (direct):
Rb1 0.000 0.000 0.000
Re1 0.000 0.500 0.000
Re2 0.500 0.000 0.000
Ni1 0.500 0.500 0.500
Ge1 0.000 0.000 0.500

Summary:
The formation energy is 3.846 eV/atom. The total magnetization is 0.48 μB/f.u.